(1)
DFT (PBE) results for a relaxed structure of Sr12Cu3H5.

Values from the calculation:
Symmetry ... Ia-3d (230)

Cell: 14.717 14.717 14.717 Å, 109.47 109.47 109.47°
Element x y z (fractional)
1 Sr 0.024 0.212 0.122
2 Sr 0.024 0.312 0.902
3 Sr 0.090 0.712 0.688
4 Sr 0.090 0.878 0.402
5 Sr 0.098 0.622 0.410
6 Sr 0.098 0.976 0.688
7 Sr 0.122 0.024 0.212
8 Sr 0.122 0.598 0.910
9 Sr 0.188 0.212 0.590
10 Sr 0.188 0.476 0.598
11 Sr 0.212 0.122 0.024
12 Sr 0.212 0.590 0.188
13 Sr 0.288 0.312 0.910
14 Sr 0.288 0.476 0.378
15 Sr 0.312 0.902 0.024
16 Sr 0.312 0.910 0.288
17 Sr 0.378 0.288 0.476
18 Sr 0.378 0.590 0.902
19 Sr 0.402 0.090 0.878
20 Sr 0.402 0.812 0.524
21 Sr 0.410 0.098 0.622
22 Sr 0.410 0.812 0.788
23 Sr 0.476 0.378 0.288
24 Sr 0.476 0.598 0.188
25 Sr 0.524 0.402 0.812
26 Sr 0.524 0.622 0.712
27 Sr 0.590 0.188 0.212
28 Sr 0.590 0.902 0.378
29 Sr 0.598 0.188 0.476
30 Sr 0.598 0.910 0.122
31 Sr 0.622 0.410 0.098
32 Sr 0.622 0.712 0.524
33 Sr 0.688 0.090 0.712
34 Sr 0.688 0.098 0.976
35 Sr 0.712 0.524 0.622
36 Sr 0.712 0.688 0.090
37 Sr 0.788 0.410 0.812
38 Sr 0.788 0.878 0.976
39 Sr 0.812 0.524 0.402
40 Sr 0.812 0.788 0.410
41 Sr 0.878 0.402 0.090
42 Sr 0.878 0.976 0.788
43 Sr 0.902 0.024 0.312
44 Sr 0.902 0.378 0.590
45 Sr 0.910 0.122 0.598
46 Sr 0.910 0.288 0.312
47 Sr 0.976 0.688 0.098
48 Sr 0.976 0.788 0.878
49 Cu 0.125 0.250 0.375
50 Cu 0.125 0.375 0.750
51 Cu 0.250 0.375 0.125
52 Cu 0.250 0.875 0.625
53 Cu 0.375 0.125 0.250
54 Cu 0.375 0.750 0.125
55 Cu 0.625 0.250 0.875
56 Cu 0.625 0.875 0.750
57 Cu 0.750 0.125 0.375
58 Cu 0.750 0.625 0.875
59 Cu 0.875 0.625 0.250
60 Cu 0.875 0.750 0.625
61 H 0.000 0.000 0.000
62 H 0.000 0.000 0.500
63 H 0.000 0.500 0.000
64 H 0.000 0.500 0.500
65 H 0.125 0.750 0.875
66 H 0.125 0.875 0.250
67 H 0.250 0.125 0.875
68 H 0.250 0.625 0.375
69 H 0.375 0.250 0.625
70 H 0.375 0.625 0.750
71 H 0.500 0.000 0.000
72 H 0.500 0.000 0.500
73 H 0.500 0.500 0.000
74 H 0.500 0.500 0.500
75 H 0.625 0.375 0.250
76 H 0.625 0.750 0.375
77 H 0.750 0.375 0.625
78 H 0.750 0.875 0.125
79 H 0.875 0.125 0.750
80 H 0.875 0.250 0.125


(2)
DFT (PBE) results for a relaxed structure of SrCuH3.

Values from the calculation:
Symmetry ... R-3c (167)

Cell: 6.983 6.983 6.983 Å, 44.90 44.90 44.90°
Element x y z (fractional)
1 Sr 0.000 0.000 0.000
2 Sr 0.500 0.500 0.500
3 Cu 0.250 0.250 0.250
4 Cu 0.750 0.750 0.750
5 H 0.048 0.750 0.452
6 H 0.250 0.548 0.952
7 H 0.452 0.048 0.750
8 H 0.548 0.952 0.250
9 H 0.750 0.452 0.048
10 H 0.952 0.250 0.548


(3)
DFT (PBE) results for a relaxed structure of SrCuH3.

Values from the calculation:
Symmetry ... P1 (1)

Cell: 4.595 4.848 6.369 Å, 67.87 89.99 89.97°
Element x y z (fractional)
1 Sr 0.000 0.000 0.000
2 Sr 0.500 0.316 0.455
3 Cu 0.001 0.797 0.546
4 Cu 0.501 0.606 0.848
5 H 0.000 0.130 0.338
6 H 0.000 0.566 0.425
7 H 0.251 0.856 0.709
8 H 0.500 0.266 0.878
9 H 0.500 0.692 0.075
10 H 0.750 0.855 0.709


(4)
DFT (PBE) results for a relaxed structure of SrCuH3.

Values from the calculation:
Symmetry ... P2_1/c (14)

Cell: 6.073 4.564 9.912 Å, 90.00 114.11 90.00°
Element x y z (fractional)
1 Sr 0.209 0.249 0.427
2 Sr 0.209 0.251 0.927
3 Sr 0.791 0.749 0.073
4 Sr 0.791 0.751 0.573
5 Cu 0.363 0.708 0.216
6 Cu 0.363 0.792 0.716
7 Cu 0.637 0.208 0.284
8 Cu 0.637 0.292 0.784
9 H 0.188 0.739 0.542
10 H 0.188 0.740 0.802
11 H 0.188 0.760 0.302
12 H 0.188 0.761 0.042
13 H 0.361 0.161 0.715
14 H 0.361 0.339 0.215
15 H 0.639 0.661 0.785
16 H 0.639 0.839 0.285
17 H 0.812 0.239 0.958
18 H 0.812 0.240 0.698
19 H 0.812 0.260 0.198
20 H 0.812 0.261 0.458


(5)
DFT (PBE) results for a relaxed structure of SrCuH3.

Values from the calculation:
Symmetry ... P2_1/c (14)

Cell: 6.460 5.139 8.910 Å, 90.00 111.24 90.00°
Element x y z (fractional)
1 Sr 0.196 0.250 0.173
2 Sr 0.196 0.250 0.673
3 Sr 0.804 0.750 0.327
4 Sr 0.804 0.750 0.827
5 Cu 0.333 0.644 0.461
6 Cu 0.333 0.856 0.961
7 Cu 0.667 0.144 0.039
8 Cu 0.667 0.356 0.539
9 H 0.112 0.060 0.897
10 H 0.112 0.440 0.397
11 H 0.221 0.574 0.946
12 H 0.221 0.926 0.446
13 H 0.497 0.512 0.365
14 H 0.497 0.988 0.865
15 H 0.503 0.012 0.135
16 H 0.503 0.488 0.635
17 H 0.779 0.074 0.554
18 H 0.779 0.426 0.054
19 H 0.888 0.560 0.603
20 H 0.888 0.940 0.103


(6)
DFT (PBE) results for a relaxed structure of SrCuH3.

Values from the calculation:
Symmetry ... P4mm (99)

Cell: 3.873 3.873 4.776 Å, 90.00 90.00 90.00°
Element x y z (fractional)
1 Sr 0.000 0.000 0.000
2 Cu 0.500 0.500 0.308
3 H 0.000 0.000 0.518
4 H 0.000 0.500 0.275
5 H 0.500 0.000 0.275


(7)
DFT (PBE) results for a relaxed structure of SrCuH3.

Values from the calculation:
Symmetry ... C2/m (12)

Cell: 7.996 7.996 4.968 Å, 105.00 105.00 29.12°
Element x y z (fractional)
1 Sr 0.135 0.135 0.432
2 Sr 0.865 0.865 0.568
3 Cu 0.297 0.297 0.979
4 Cu 0.703 0.703 0.021
5 H 0.016 0.016 0.952
6 H 0.185 0.185 0.968
7 H 0.302 0.302 0.651
8 H 0.698 0.698 0.349
9 H 0.815 0.815 0.032
10 H 0.984 0.984 0.048


(8)
DFT (PBE) results for a relaxed structure of SrCuH3.

Values from the calculation:
Symmetry ... P6_3/mmc (194)

Cell: 4.084 4.084 9.614 Å, 90.00 90.00 120.00°
Element x y z (fractional)
1 Sr 0.000 0.000 0.000
2 Sr 0.000 0.000 0.500
3 Cu 0.333 0.667 0.250
4 Cu 0.667 0.333 0.750
5 H 0.000 0.000 0.250
6 H 0.000 0.000 0.750
7 H 0.333 0.667 0.084
8 H 0.333 0.667 0.416
9 H 0.667 0.333 0.584
10 H 0.667 0.333 0.916


(9)
DFT (PBE) results for a relaxed structure of SrCuH3.

Values from the calculation:
Symmetry ... P2_1 (4)

Cell: 4.958 4.549 6.066 Å, 90.00 113.84 90.00°
Element x y z (fractional)
1 Sr 0.146 0.000 0.291
2 Sr 0.854 0.500 0.709
3 Cu 0.431 0.958 0.863
4 Cu 0.569 0.458 0.137
5 H 0.084 0.011 0.690
6 H 0.397 0.511 0.313
7 H 0.429 0.587 0.861
8 H 0.571 0.087 0.139
9 H 0.603 0.011 0.687
10 H 0.916 0.511 0.310


Total DFT energy (no corrections)? In order: -2.619 -3.423 -3.520 -3.523 -3.486 -2.990 -3.249 -3.373 -3.525 eV per atom.